Entry 1:
VASP calculation (PBE) on a relaxed structure of NdTh2NiN4.

Geometry as POSCAR:
```
NdTh2NiN4
1.0
-0.5459 2.6961 2.2812
-0.9582 -5.2227 3.1441
11.4877 -0.2646 3.0615
N Th Nd Ni
8 4 2 2
Direct
0.0000 0.0000 0.5000 N
0.7314 0.4627 0.6205 N
0.5501 0.1001 0.2500 N
0.0000 0.0000 0.0000 N
0.7314 0.4627 0.8795 N
0.2686 0.5373 0.3795 N
0.2686 0.5373 0.1205 N
0.4499 0.8999 0.7500 N
0.3686 0.7371 0.9402 Th
0.6314 0.2629 0.4402 Th
0.3686 0.7371 0.5598 Th
0.6314 0.2629 0.0598 Th
0.8944 0.7888 0.2500 Nd
0.1056 0.2112 0.7500 Nd
0.8416 0.6832 0.7500 Ni
0.1584 0.3168 0.2500 Ni
```

Computed properties:
- Energy relative to the elements, uncorrected: -1.16 eV per atom

=====

Entry 2:
VASP calculation (PBE) on a relaxed structure of LaPr9Cd2.

Geometry as POSCAR:
```
LaPr9Cd2
1.0
5.0822 0.0000 0.0000
0.0000 5.0822 0.0000
0.0000 0.0000 15.4390
Pr Cd La
9 2 1
Direct
0.5000 0.5000 0.6621 Pr
0.5000 0.0000 0.8249 Pr
0.0000 0.5000 0.5000 Pr
0.5000 0.0000 0.5000 Pr
0.5000 0.0000 0.1751 Pr
0.5000 0.5000 0.3379 Pr
0.5000 0.5000 0.0000 Pr
0.0000 0.5000 0.8249 Pr
0.0000 0.5000 0.1751 Pr
0.0000 0.0000 0.3403 Cd
0.0000 0.0000 0.6597 Cd
0.0000 0.0000 0.0000 La
```

Computed properties:
- E_form: -0.06 eV/atom

=====

Entry 3:
VASP calculation (PBE) on a relaxed structure of SrCdHg2.

Geometry as POSCAR:
```
SrCdHg2
1.0
5.3735 0.0000 0.0000
2.6867 4.6536 0.0000
2.6867 1.5512 4.3874
Cd Hg Sr
1 2 1
Direct
0.5000 0.5000 0.5000 Cd
0.0000 0.0000 0.0000 Hg
0.2500 0.2500 0.2500 Hg
0.7500 0.7500 0.7500 Sr
```

Computed properties:
- E_form: -0.31 eV/atom

=====

Entry 4:
VASP calculation (PBE) on a relaxed structure of YThCu3.

Geometry as POSCAR:
```
YThCu3
1.0
-3.3392 -1.1372 -0.2824
1.4411 -4.0420 -0.7629
1.4345 -1.9693 13.1435
Cu Th Y
6 2 2
Direct
0.5235 0.7500 0.0470 Cu
0.6712 0.2500 0.3424 Cu
0.3288 0.7500 0.6576 Cu
0.3816 0.2500 0.7631 Cu
0.4765 0.2500 0.9530 Cu
0.6184 0.7500 0.2369 Cu
0.0721 0.2500 0.1442 Th
0.9279 0.7500 0.8558 Th
0.7952 0.2500 0.5904 Y
0.2048 0.7500 0.4096 Y
```

Computed properties:
- E_form: -0.21 eV/atom

=====

Entry 5:
VASP calculation (PBE) on a relaxed structure of ZrRe3Br.

Geometry as POSCAR:
```
ZrRe3Br
1.0
-1.9964 3.5253 -2.8716
-3.6347 0.6469 3.3212
2.7318 3.4370 2.3202
Br Re Zr
1 3 1
Direct
0.5000 0.5000 0.5000 Br
0.0000 0.5000 0.0000 Re
0.0000 0.0000 0.5000 Re
0.5000 0.0000 0.0000 Re
0.0000 0.0000 0.0000 Zr
```

Computed properties:
- Excess energy over the best structure of this formula in the dataset: 111.5 kJ per mole of atoms
- Energy relative to the elements, uncorrected: 2.91 eV per atom

=====

Entry 6:
VASP calculation (PBE) on a relaxed structure of Ho8Mg2Rh.

Geometry as POSCAR:
```
Ho8Mg2Rh
1.0
-0.5792 -5.3093 -1.1804
4.1650 0.7809 -5.5560
4.8186 0.5870 7.6681
Ho Mg Rh
8 2 1
Direct
0.3986 0.5924 0.7973 Ho
0.6014 0.4076 0.2027 Ho
0.1923 0.2510 0.3846 Ho
0.9853 0.2251 0.9706 Ho
0.3554 0.0740 0.7107 Ho
0.0147 0.7749 0.0294 Ho
0.8077 0.7490 0.6154 Ho
0.6446 0.9260 0.2893 Ho
0.8159 0.3072 0.6317 Mg
0.1841 0.6928 0.3683 Mg
0.5000 0.0000 0.0000 Rh
```

Computed properties:
- E_form: -0.14 eV/atom

=====

Entry 7:
VASP calculation (PBE) on a relaxed structure of K2Na6TlHg.

Geometry as POSCAR:
```
K2Na6TlHg
1.0
-2.8743 -0.5103 -8.0225
-7.0461 -3.9412 2.7752
-7.6964 3.1169 -1.9831
Na Tl K Hg
6 1 2 1
Direct
0.7528 0.2472 0.0000 Na
0.7528 0.7528 0.0000 Na
0.7528 0.7528 0.4944 Na
0.2472 0.2472 0.0000 Na
0.2472 0.2472 0.5056 Na
0.2472 0.7528 0.0000 Na
0.5000 0.5000 0.0000 Tl
0.7500 0.2500 0.5000 K
0.2500 0.7500 0.5000 K
0.0000 0.0000 0.0000 Hg
```

Computed properties:
- E_form: -0.02 eV/atom

=====

Entry 8:
VASP calculation (PBE) on a relaxed structure of NdSmI.

Geometry as POSCAR:
```
NdSmI
1.0
3.7696 0.0000 0.0000
0.0000 6.0746 0.0000
0.0000 0.0000 18.5001
I Sm Nd
4 4 4
Direct
0.7500 0.7498 0.0434 I
0.2500 0.2502 0.9566 I
0.2500 0.2498 0.4566 I
0.7500 0.7502 0.5434 I
0.2500 0.7496 0.3958 Sm
0.7500 0.2496 0.1042 Sm
0.7500 0.2504 0.6042 Sm
0.2500 0.7504 0.8958 Sm
0.2500 0.2506 0.7743 Nd
0.7500 0.7506 0.7257 Nd
0.7500 0.7494 0.2257 Nd
0.2500 0.2494 0.2743 Nd
```

Computed properties:
- Excess energy over the best structure of this formula in the dataset: 5.5 kJ per mole of atoms
- Energy relative to the elements, uncorrected: -0.49 eV per atom

=====

no.,DOS at the Fermi energy (states/eV per cell),magnetization (μB per formula unit)
1,8.63,1.040
2,16.90,0.000
3,1.82,0.000
4,6.61,0.000
5,6.88,5.359
6,10.16,0.000
7,4.49,0.000
8,11.10,0.000